Entry 1:
A relaxed Mn2Hg crystal, computed with GGA-PBE.

## Properties
Magnetic moment: 2.44 μB per atom
N(E_F): 3.555 states/eV/cell
ΔH_f (0 K): 0.593 eV/atom

Lattice parameters (Å, degrees): 4.5688 4.5688 2.8142 90.00 90.00 120.00
Last column: nearest neighbours and their distance in Å.
Element x y z (fractional)
Mn  0.3333  0.6667  0.0000  5 Mn 2.64-2.81
Hg  0.0000  0.0000  0.5000  2 Hg 2.81, 12 Mn 2.99
Mn  0.6667  0.3333  0.0000  5 Mn 2.64-2.81


Entry 2:
A relaxed Mn3Hg crystal, computed with GGA-PBE.

## Properties
Magnetic moment: 2.71 μB per atom
N(E_F): 4.585 states/eV/cell
ΔH_f (0 K): 0.434 eV/atom

Lattice parameters (Å, degrees): 4.0068 4.0068 4.0068 90.00 90.00 90.00
Last column: nearest neighbours and their distance in Å.
Element x y z (fractional)
Mn  0.5000  0.0000  0.5000  4 Hg 2.83, 8 Mn 2.83
Mn  0.5000  0.5000  0.0000  4 Hg 2.83, 8 Mn 2.83
Hg  0.0000  0.0000  0.0000  12 Mn 2.83
Mn  0.0000  0.5000  0.5000  8 Mn 2.83, 4 Hg 2.83


Entry 3:
A relaxed MnHg crystal, computed with GGA-PBE.

## Properties
Magnetic moment: 0.73 μB per atom
N(E_F): 11.589 states/eV/cell
ΔH_f (0 K): 0.573 eV/atom
Energy above the lowest structure with this stoichiometry: 0.249 eV/atom

Lattice parameters (Å, degrees): 7.7989 7.7989 4.0295 90.00 90.00 120.00
Last column: nearest neighbours and their distance in Å.
Element x y z (fractional)
Mn  0.8749  0.4375  0.7500  4 Mn 2.44-2.63
Mn  0.4375  0.5625  0.2500  4 Mn 2.44-2.63
Mn  0.5625  0.4375  0.7500  4 Mn 2.44-2.63
Mn  0.5625  0.1251  0.7500  4 Mn 2.44-2.63
Mn  0.4375  0.8749  0.2500  4 Mn 2.44-2.63
Hg  0.6501  0.8250  0.7500  6 Mn 2.75-2.76
Hg  0.8250  0.1750  0.2500  6 Mn 2.75-2.76
Hg  0.3499  0.1750  0.2500  6 Mn 2.75-2.76
Hg  0.1750  0.8250  0.7500  6 Mn 2.75-2.76
Hg  0.1750  0.3499  0.7500  6 Mn 2.75-2.76
Hg  0.8250  0.6501  0.2500  6 Mn 2.75-2.76
Mn  0.1251  0.5625  0.2500  4 Mn 2.44-2.63